Record 1
Here is a relaxed structure of ThIn2HgI6 from the Alexandria database. Energies are from GGA-PBE.

Formation energy without anion corrections ... -790 meV/atom
Theoretical density ... 4557 kg/m3

a = 8.6072 Å, b = 8.6170 Å, c = 9.4767 Å
α = 63.02°, β = 63.00°, γ = 60.07°
Space group P1 (No. 1)
Inequivalent atoms, fractional coordinates:
1 Th 0.0000 0.0000 0.0000 (multiplicity 1)
2 In 0.3448 0.3453 0.9656 (multiplicity 1)
3 In 0.8218 0.8226 0.5331 (multiplicity 1)
4 Hg 0.5001 0.5001 0.5004 (multiplicity 1)
5 I 0.0431 0.7902 0.7870 (multiplicity 1)
6 I 0.1810 0.6124 0.2284 (multiplicity 1)
7 I 0.3800 0.0431 0.7875 (multiplicity 1)
8 I 0.6116 0.9783 0.2281 (multiplicity 1)
9 I 0.7906 0.3795 0.7874 (multiplicity 1)
10 I 0.9783 0.1811 0.2288 (multiplicity 1)

=====

Record 2
Here is a relaxed structure of La5ZnCd4 from the Alexandria database. Energies are from GGA-PBE.

Energy relative to the elements ... -31.6 kJ/mol of atoms
Theoretical density ... 6782 kg/m3

a = 3.8890 Å, b = 3.8890 Å, c = 19.5820 Å
α = 90.00°, β = 90.00°, γ = 90.00°
Space group P4/mmm (No. 123)
Inequivalent atoms, fractional coordinates:
1 La 0.0000 0.0000 0.0000 (multiplicity 1)
2 La 0.0000 0.0000 0.2039 (multiplicity 2)
3 La 0.0000 0.0000 0.4120 (multiplicity 2)
4 Zn 0.5000 0.5000 0.5000 (multiplicity 1)
5 Cd 0.5000 0.5000 0.1017 (multiplicity 2)
6 Cd 0.5000 0.5000 0.3071 (multiplicity 2)

=====

Record 3
Here is a relaxed structure of MnCr2Rh from the Alexandria database. Energies are from GGA-PBE.

Energy relative to the elements ... 18.9 kJ/mol of atoms
Excess energy over the best structure of this formula in the dataset ... 200 meV per atom
Theoretical density ... 8643 kg/m3

a = 2.6581 Å, b = 2.6581 Å, c = 24.6648 Å
α = 90.00°, β = 90.00°, γ = 120.00°
Space group R3m (No. 160, hexagonal axes)
Inequivalent atoms, fractional coordinates:
1 Mn 0.0000 0.0000 0.0000 (multiplicity 3)
2 Cr 0.0000 0.0000 0.2565 (multiplicity 3)
3 Cr 0.0000 0.0000 0.5065 (multiplicity 3)
4 Rh 0.0000 0.0000 0.7558 (multiplicity 3)

=====

Record 4
Here is a relaxed structure of CeNdPtAu from the Alexandria database. Energies are from GGA-PBE.

Energy relative to the elements ... -79.6 kJ/mol of atoms
Excess energy over the best structure of this formula in the dataset ... 100 meV per atom
Theoretical density ... 11556 kg/m3

a = 7.2985 Å, b = 7.2985 Å, c = 7.2985 Å
α = 90.00°, β = 90.00°, γ = 90.00°
Space group F-43m (No. 216)
Inequivalent atoms, fractional coordinates:
1 Ce 0.0000 0.0000 0.0000 (multiplicity 4)
2 Nd 0.0000 0.0000 0.5000 (multiplicity 4)
3 Pt 0.2500 0.2500 0.7500 (multiplicity 4)
4 Au 0.2500 0.2500 0.2500 (multiplicity 4)

=====

no.,total magnetization (μB per cell)
1,0.00
2,0.27
3,2.11
4,4.07